## AsBr2Cl (PBE-GGA)

Data for an optimized crystal structure of AsBr2Cl.

Lattice parameters (Å, degrees): 4.0375 4.0375 10.7644 90.00 90.00 129.04
Element x y z (fractional)
As  0.0000  0.0000  0.0000
Br  0.0000  0.0000  0.4997
Br  0.5000  0.5000  0.8195
Cl  0.5000  0.5000  0.1655

Magnetization: 1.104 μB/f.u.
E above lowest polymorph: 0.5998 eV/atom